(1)
Crystalline Al2ZnCr at its relaxed geometry, computed with PBE-GGA.

a = 4.672 Å, b = 4.672 Å, c = 4.784 Å
α = 100.05°, β = 100.05°, γ = 33.79°
Atoms (fractional coordinates):
Al: 0.242 0.242 0.236
Al: 0.758 0.758 0.764
Zn: 0.000 0.000 0.500
Cr: 0.500 0.500 0.000

Output
- E (eV per atom) = -4.53
- DOS(E_F) (states/eV per cell) = 2.28
- magnetization (μB/f.u.) = 0.6
- ΔH_f (0 K) (eV per formula unit) = 0.3
- crystal system = monoclinic

***

(2)
Crystalline MgMnBe2 at its relaxed geometry, computed with PBE-GGA.

a = 3.971 Å, b = 3.971 Å, c = 2.998 Å
α = 90.00°, β = 90.00°, γ = 90.00°
Atoms (fractional coordinates):
Mg: 0.000 0.000 0.000
Mn: 0.500 0.500 0.000
Be: 0.000 0.500 0.500
Be: 0.500 0.000 0.500

Output
- E (eV per atom) = -4.36
- DOS(E_F) (states/eV per cell) = 1.30
- magnetization (μB/f.u.) = 2.7
- ΔH_f (0 K) (eV per formula unit) = 0.8
- crystal system = tetragonal

***

(3)
Crystalline BiBPt3 at its relaxed geometry, computed with PBE-GGA.

a = 6.070 Å, b = 6.070 Å, c = 6.015 Å
α = 112.21°, β = 112.21°, γ = 56.53°
Atoms (fractional coordinates):
Bi: 0.076 0.076 0.290
Bi: 0.924 0.924 0.710
B: 0.340 0.340 0.996
B: 0.660 0.660 0.004
Pt: 0.063 0.557 0.255
Pt: 0.442 0.442 0.743
Pt: 0.443 0.937 0.745
Pt: 0.557 0.063 0.255
Pt: 0.558 0.558 0.257
Pt: 0.937 0.443 0.745

Output
- energy relative to the lowest polymorph listed for this composition (meV per atom) = 0.0
- E (eV per atom) = -5.95
- DOS(E_F) (states/eV per cell) = 4.80
- magnetization (μB/f.u.) = 0.0
- ΔH_f (0 K) (eV per formula unit) = -1.1
- crystal system = monoclinic

***

(4)
Crystalline MgCrIr at its relaxed geometry, computed with PBE-GGA.

a = 5.769 Å, b = 5.769 Å, c = 5.769 Å
α = 151.27°, β = 151.27°, γ = 41.08°
Atoms (fractional coordinates):
Mg: 0.000 0.000 0.000
Cr: 0.684 0.684 0.000
Ir: 0.321 0.321 0.000

Output
- energy relative to the lowest polymorph listed for this composition (meV per atom) = 84.1
- E (eV per atom) = -6.71
- DOS(E_F) (states/eV per cell) = 3.31
- magnetization (μB/f.u.) = 0.0
- ΔH_f (0 K) (eV per formula unit) = -0.1
- crystal system = tetragonal

***

(5)
Crystalline CeEr2Zr3N6 at its relaxed geometry, computed with PBE-GGA.

a = 5.798 Å, b = 5.798 Å, c = 5.859 Å
α = 99.46°, β = 99.46°, γ = 120.08°
Atoms (fractional coordinates):
Ce: 0.000 0.000 0.000
Er: 0.333 0.667 0.000
Er: 0.667 0.333 0.000
Zr: 0.168 0.832 0.500
Zr: 0.500 0.500 0.500
Zr: 0.832 0.168 0.500
N: 0.089 0.426 0.266
N: 0.249 0.249 0.736
N: 0.426 0.089 0.266
N: 0.574 0.911 0.734
N: 0.751 0.751 0.264
N: 0.911 0.574 0.734

Output
- E (eV per atom) = -9.27
- DOS(E_F) (states/eV per cell) = 5.11
- magnetization (μB/f.u.) = 0.0
- crystal system = monoclinic
- raw formation energy (eV per atom) = -1.71

***

Q: Which value of E does entry 3 give?
A: -5.95 eV per atom